1.
Entry from Alexandria: a crystal of CS14 relaxed with PBEsol (meta-GGA SCAN).

```
15
Lattice="7.269 -0.108 -0.115 -0.543 7.250 -0.115 -0.543 -0.577 7.228" Properties=species:S:1:pos:R:3 pbc="T T T"
S 5.093 5.408 0.990
S 5.093 0.643 5.460
S 1.871 -0.432 4.958
S -0.543 4.831 2.154
S 0.337 5.122 5.460
S 1.871 4.976 -0.115
S 3.933 4.176 4.452
S -0.543 1.842 4.958
S 4.855 2.166 -0.115
S 1.090 1.157 6.008
S 2.250 2.389 2.546
S 1.090 5.922 1.538
S 4.855 -0.253 2.154
S 5.846 1.443 1.538
C 3.092 3.283 3.499
```

The crystal system is trigonal. The calculation puts the uncorrected formation energy at 0.057 eV per atom. As for the total magnetization: 0.0 μB/cell.

---

2.
Entry from Alexandria: a crystal of Cr3Mo13 relaxed with PBEsol (meta-GGA SCAN).

```
16
Lattice="-4.596 0.833 -4.003 -3.052 -4.716 2.522 -2.742 3.870 3.918" Properties=species:S:1:pos:R:3 pbc="T T T"
Mo -3.187 3.124 1.984
Mo -7.345 0.734 3.792
Mo -1.803 1.156 -0.021
Mo -5.667 -0.779 -0.798
Mo -6.723 1.611 -1.398
Mo -3.328 -1.203 1.240
Mo -5.806 3.112 2.519
Mo -4.442 1.194 0.582
Mo -4.724 0.767 3.234
Mo -7.061 1.190 1.197
Mo -5.982 -1.185 1.854
Mo -4.136 1.570 -2.069
Mo -8.262 -0.768 -0.126
Cr -8.086 3.530 0.539
Cr -9.626 1.150 1.812
Cr -5.520 3.538 -0.064
```

The calculation puts the formation enthalpy at 0 K at 0.06 eV/atom. The crystal system is orthorhombic. As for the total magnetization: 0.0 μB/cell.

---

3.
Entry from Alexandria: a crystal of Sb5Rh relaxed with PBEsol (meta-GGA SCAN).

```
6
Lattice="-0.715 -2.442 3.296 -2.692 -3.621 -3.266 6.286 -2.115 -2.835" Properties=species:S:1:pos:R:3 pbc="T T T"
Sb -1.346 -1.811 -1.633
Sb 0.380 -4.204 -0.402
Sb 2.500 -3.975 -2.403
Sb 4.565 -2.569 -0.914
Sb 1.006 -1.988 1.375
Rh 0.000 0.000 0.000
```

The crystal system is orthorhombic. The calculation puts the uncorrected formation energy at -0.068 eV per atom. As for the total magnetization: 0.0 μB/cell.

---

4.
Entry from Alexandria: a crystal of KCrMo relaxed with PBEsol (meta-GGA SCAN).

```
3
Lattice="3.067 0.000 0.000 -1.534 2.656 0.000 0.000 0.000 7.619" Properties=species:S:1:pos:R:3 pbc="T T T"
Mo 1.534 0.885 1.996
Cr 0.000 0.000 0.513
K 0.000 1.771 5.109
```

The calculation puts the formation enthalpy at 0 K at 1.07 eV/atom. The crystal system is trigonal. Its energy above the most stable polymorph in this dataset is 112.8 meV/atom. As for the total magnetization: 0.0 μB/cell.

---

5.
Entry from Alexandria: a crystal of CoSiB3 relaxed with PBEsol (meta-GGA SCAN).

```
5
Lattice="3.869 0.000 0.000 0.000 3.869 0.000 0.000 0.000 3.869" Properties=species:S:1:pos:R:3 pbc="T T T"
Si 0.000 0.000 0.000
B 0.000 1.934 0.000
B 0.000 0.000 1.934
B 1.934 0.000 0.000
Co 1.934 1.934 1.934
```

The crystal system is cubic. The calculation puts the uncorrected formation energy at 1.836 eV per atom. Its energy above the most stable polymorph in this dataset is 672.4 meV/atom. As for the total magnetization: 2.1 μB/cell.

---

6.
Entry from Alexandria: a crystal of CaRu2Au relaxed with PBEsol (meta-GGA SCAN).

```
4
Lattice="-2.263 0.431 -1.867 2.768 -1.009 -3.589 -1.185 -4.590 0.376" Properties=species:S:1:pos:R:3 pbc="T T T"
Ca 0.792 -2.800 -1.606
Au -1.724 -2.080 -0.745
Ru 0.000 0.000 0.000
Ru 0.253 -0.289 -2.728
```

The calculation puts the formation enthalpy at 0 K at 0.29 eV/atom. The crystal system is orthorhombic. Its energy above the most stable polymorph in this dataset is 216.6 meV/atom. As for the total magnetization: 1.8 μB/cell.

---

7.
Entry from Alexandria: a crystal of AlCdAs2 relaxed with PBEsol (meta-GGA SCAN).

```
4
Lattice="-2.039 -1.334 2.969 1.385 -3.526 -0.633 4.119 1.026 3.290" Properties=species:S:1:pos:R:3 pbc="T T T"
Al 1.732 -1.917 2.813
Cd 0.000 0.000 0.000
As 2.059 0.513 1.645
As -0.327 -2.430 1.168
```

The calculation puts the formation enthalpy at 0 K at -0.04 eV/atom. The crystal system is tetragonal. Its energy above the most stable polymorph in this dataset is 0.0 meV/atom. As for the total magnetization: 0.0 μB/cell.

---

8.
Entry from Alexandria: a crystal of TmZnPd2 relaxed with PBEsol (meta-GGA SCAN).

```
4
Lattice="4.552 0.000 0.000 2.276 3.942 0.000 2.276 1.314 3.716" Properties=species:S:1:pos:R:3 pbc="T T T"
Zn 4.552 2.628 1.858
Pd 2.276 1.314 0.929
Pd 6.828 3.942 2.787
Tm 0.000 0.000 0.000
```

The calculation puts the formation enthalpy at 0 K at -0.81 eV/atom. The crystal system is cubic. As for the total magnetization: 0.0 μB/cell.

---

9.
Entry from Alexandria: a crystal of LiP2IrO relaxed with PBEsol (meta-GGA SCAN).

```
5
Lattice="3.048 0.000 0.000 0.000 4.474 0.000 0.000 0.000 4.474" Properties=species:S:1:pos:R:3 pbc="T T T"
P 0.000 0.000 2.237
P 0.000 2.237 0.000
Ir 1.524 2.237 2.237
O 1.524 0.000 0.000
Li 0.000 0.000 0.000
```

The crystal system is tetragonal. The calculation puts the uncorrected formation energy at 0.638 eV per atom. As for the total magnetization: 0.0 μB/cell.

---

10.
Entry from Alexandria: a crystal of TaCoGeMo2 relaxed with PBEsol (meta-GGA SCAN).

```
5
Lattice="-3.210 -0.664 2.557 2.788 -1.599 3.085 0.491 4.097 1.680" Properties=species:S:1:pos:R:3 pbc="T T T"
Mo 1.394 -0.800 1.542
Mo 0.246 2.048 0.840
Ta 0.035 0.917 3.661
Co 0.000 0.000 0.000
Ge -1.605 -0.332 1.279
```

The calculation puts the formation enthalpy at 0 K at 0.87 eV/atom. The crystal system is tetragonal. As for the total magnetization: 0.0 μB/cell.

---

11.
Entry from Alexandria: a crystal of InTePb2 relaxed with PBEsol (meta-GGA SCAN).

```
4
Lattice="-2.305 -4.344 -2.303 0.325 -4.850 2.421 -4.425 -2.226 2.225" Properties=species:S:1:pos:R:3 pbc="T T T"
Pb -4.804 -8.565 1.757
Pb -1.601 -2.855 0.586
Te -3.202 -5.710 1.171
In 0.000 0.000 0.000
```

The crystal system is cubic. The calculation puts the uncorrected formation energy at 0.079 eV per atom. Its energy above the most stable polymorph in this dataset is 79.1 meV/atom. As for the total magnetization: 0.0 μB/cell.

---

12.
Entry from Alexandria: a crystal of FePt2 relaxed with PBEsol (meta-GGA SCAN).

```
12
Lattice="3.823 0.000 0.000 0.000 3.823 0.000 -1.912 -1.912 11.470" Properties=species:S:1:pos:R:3 pbc="T T T"
Fe 0.000 1.912 7.686
Fe 1.912 1.912 9.520
Fe 0.000 0.000 1.950
Fe 0.000 1.912 3.785
Pt 1.912 1.912 5.709
Pt 0.000 0.000 5.761
Pt 1.912 0.000 7.682
Pt 1.912 0.000 11.444
Pt 1.912 0.000 0.026
Pt 1.912 1.912 1.947
Pt 1.912 0.000 3.789
Pt 0.000 0.000 9.524
```

The calculation puts the formation enthalpy at 0 K at -0.38 eV/atom. The crystal system is tetragonal. As for the total magnetization: 15.7 μB/cell.